ReGePb2 after structural relaxation, computed with PBE-GGA.

Properties
DOS at the Fermi energy, states/eV/f.u.: 3.70
Volume, Å³ per cell: 260.5
VASP energy, eV per atom: -4.833
Magnetic moment, μB/f.u.: 1.573
Energy of formation from the pure elements, eV/atom: 1.288

Lattice parameters (Å, degrees): 6.358 6.358 7.858 66.14 66.14 90.00
Site moments in Bohr magnetons follow the coordinates.
Atoms (fractional coordinates):
Ge 0.500 0.500 0.000  0.04
Ge 0.250 0.750 0.500  0.04
Re 0.000 0.000 0.000  1.41
Re 0.750 0.250 0.500  1.42
Pb 0.643 0.125 0.250  -0.05
Pb 0.375 0.357 0.750  -0.06
Pb 0.107 0.625 0.250  -0.05
Pb 0.875 0.893 0.750  -0.05